Entry 1:
This record from Alexandria describes CeZnGaPt2 after structural relaxation. The functional is PBE.

a b c (Å): 4.0157 4.0157 6.6277
angles (deg): 107.63 107.63 90.00
Fractional positions:
1 Ga 0.2500 0.7500 0.5000
2 Pt 0.3880 0.3880 0.7760
3 Pt 0.6120 0.6120 0.2240
4 Zn 0.7500 0.2500 0.5000
5 Ce 0.0000 0.0000 0.0000

For the formation energy from the elements, the calculation gives -0.831 eV per atom. Its density of states at the Fermi level is 7.14 states/eV per cell. The symmetry is I-4m2, No. 119. As for the calculated total energy: -5.2939 eV/atom.

Entry 2:
This record from Alexandria describes CeZnGa2Pt5 after structural relaxation. The functional is PBE.

a b c (Å): 4.1226 4.1226 9.5557
angles (deg): 90.00 90.00 90.00
Fractional positions:
1 Ga 0.5000 0.5000 0.1254
2 Ga 0.5000 0.5000 0.8746
3 Pt 0.0000 0.5000 0.2783
4 Pt 0.5000 0.0000 0.7217
5 Pt 0.5000 0.5000 0.5000
6 Pt 0.0000 0.5000 0.7217
7 Pt 0.5000 0.0000 0.2783
8 Zn 0.0000 0.0000 0.0000
9 Ce 0.0000 0.0000 0.5000

For the formation energy from the elements, the calculation gives -0.569 eV per atom. Its density of states at the Fermi level is 5.37 states/eV per cell. The symmetry is P4/mmm, No. 123. As for the calculated total energy: -5.3990 eV/atom.

Entry 3:
This record from Alexandria describes Ce2ZnGa4Pt3 after structural relaxation. The functional is PBE.

a b c (Å): 4.2526 4.2526 10.6411
angles (deg): 90.00 90.00 90.00
Fractional positions:
1 Pt 0.0000 0.5000 0.1343
2 Pt 0.5000 0.0000 0.8657
3 Pt 0.0000 0.0000 0.5000
4 Ce 0.5000 0.0000 0.2456
5 Ce 0.0000 0.5000 0.7544
6 Zn 0.5000 0.5000 0.5000
7 Ga 0.5000 0.5000 0.0000
8 Ga 0.5000 0.0000 0.6330
9 Ga 0.0000 0.5000 0.3670
10 Ga 0.0000 0.0000 0.0000

For the formation energy from the elements, the calculation gives -0.830 eV per atom. Its density of states at the Fermi level is 11.99 states/eV per cell. The symmetry is P-4m2, No. 115. As for the calculated total energy: -5.1672 eV/atom.